The following is a DFT calculation (PBE) of HoSc2AlPt4 after structural relaxation. Values from VASP.

```
&SYSTEM
  ibrav = 0, nat = 8, ntyp = 4
/
ATOMIC_SPECIES
Ho 164.93 Ho.upf
Sc 44.96 Sc.upf
Al 26.98 Al.upf
Pt 195.08 Pt.upf
ATOMIC_POSITIONS angstrom
Ho 0.000 0.000 0.000
Sc 0.000 0.000 5.850
Sc 0.000 0.000 18.066
Al 0.000 0.000 11.958
Pt 0.000 0.000 3.099
Pt 0.000 0.000 9.406
Pt 0.000 0.000 14.510
Pt 0.000 0.000 20.817
CELL_PARAMETERS angstrom
2.292 1.323 7.972
-2.292 1.323 7.972
0.000 -2.647 7.972
```

Computed properties:
For the density of states at the Fermi level, the calculation gives 5.4 states/eV/cell. The total magnetization comes out at 0.00 μB/f.u. The crystal system is trigonal. The energy of formation from the pure elements comes out at -113.3 kJ per mole of atoms.

The following is a DFT calculation (PBE) of PmPuCuSn after structural relaxation. Values from VASP.

```
&SYSTEM
  ibrav = 0, nat = 4, ntyp = 4
/
ATOMIC_SPECIES
Pm 145.00 Pm.upf
Pu 244.00 Pu.upf
Cu 63.55 Cu.upf
Sn 118.71 Sn.upf
ATOMIC_POSITIONS angstrom
Pm 0.000 0.000 0.000
Pu 3.709 3.709 3.709
Cu 5.563 5.563 5.563
Sn 1.854 1.854 1.854
CELL_PARAMETERS angstrom
0.000 3.709 3.709
3.709 0.000 3.709
3.709 3.709 0.000
```

Computed properties:
For the density of states at the Fermi level, the calculation gives 8.5 states/eV/cell. The total magnetization comes out at 6.24 μB/f.u. The crystal system is cubic. The energy of formation from the pure elements comes out at -22.5 kJ per mole of atoms.

The following is a DFT calculation (PBE) of UNiPt6 after structural relaxation. Values from VASP.

```
&SYSTEM
  ibrav = 0, nat = 8, ntyp = 3
/
ATOMIC_SPECIES
U 238.03 U.upf
Ni 58.69 Ni.upf
Pt 195.08 Pt.upf
ATOMIC_POSITIONS angstrom
U 0.000 0.000 0.000
Ni 2.745 0.000 3.350
Pt 2.018 1.370 1.367
Pt 0.103 0.000 2.987
Pt 3.472 1.370 5.334
Pt 2.018 -1.370 1.367
Pt 5.387 0.000 3.714
Pt 3.472 -1.370 5.334
CELL_PARAMETERS angstrom
4.058 -2.695 0.000
4.058 2.695 0.000
-2.625 0.000 6.701
```

Computed properties:
For the density of states at the Fermi level, the calculation gives 9.0 states/eV/cell. The total magnetization comes out at 0.11 μB/f.u. Its energy above the lowest structure with this stoichiometry is 272 meV per atom. The crystal system is monoclinic. The energy of formation from the pure elements comes out at -16.2 kJ per mole of atoms.

The following is a DFT calculation (PBE) of Na3CuSe4 after structural relaxation. Values from VASP.

```
&SYSTEM
  ibrav = 0, nat = 8, ntyp = 3
/
ATOMIC_SPECIES
Na 22.99 Na.upf
Cu 63.55 Cu.upf
Se 78.96 Se.upf
ATOMIC_POSITIONS angstrom
Na 0.000 0.000 0.000
Na 2.298 0.000 4.622
Na 0.000 2.905 2.995
Cu 0.000 0.000 7.617
Se 2.298 1.416 -1.841
Se 2.298 1.416 1.841
Se 0.000 1.489 5.776
Se 0.000 1.489 9.458
CELL_PARAMETERS angstrom
-2.298 2.905 7.617
2.298 -2.905 7.617
2.298 2.905 -7.617
```

Computed properties:
Its total energy is -3.37 eV/atom. For the density of states at the Fermi level, the calculation gives 2.5 states/eV/cell. The total magnetization comes out at 0.00 μB/f.u. The crystal system is orthorhombic.

The following is a DFT calculation (PBE) of Y2PuSi3Pt4 after structural relaxation. Values from VASP.

```
&SYSTEM
  ibrav = 0, nat = 10, ntyp = 4
/
ATOMIC_SPECIES
Y 88.91 Y.upf
Pu 244.00 Pu.upf
Si 28.09 Si.upf
Pt 195.08 Pt.upf
ATOMIC_POSITIONS angstrom
Y 0.000 2.097 2.473
Y 2.097 0.000 8.516
Pu 0.000 0.000 5.494
Si 0.000 2.097 9.673
Si 2.097 0.000 1.316
Si 2.097 2.097 5.494
Pt 0.000 0.000 0.000
Pt 0.000 2.097 7.324
Pt 2.097 0.000 3.665
Pt 2.097 2.097 0.000
CELL_PARAMETERS angstrom
4.194 0.000 0.000
0.000 4.194 0.000
0.000 0.000 10.988
```

Computed properties:
Its total energy is -7.72 eV/atom. For the density of states at the Fermi level, the calculation gives 11.7 states/eV/cell. The total magnetization comes out at 5.53 μB/f.u. The crystal system is tetragonal.

The following is a DFT calculation (PBE) of YZnSeBr2 after structural relaxation. Values from VASP.

```
&SYSTEM
  ibrav = 0, nat = 5, ntyp = 4
/
ATOMIC_SPECIES
Y 88.91 Y.upf
Zn 65.41 Zn.upf
Se 78.96 Se.upf
Br 79.90 Br.upf
ATOMIC_POSITIONS angstrom
Y 0.000 0.000 0.000
Zn 2.765 2.765 2.827
Se 0.000 0.000 2.827
Br 0.000 2.765 0.000
Br 2.765 0.000 0.000
CELL_PARAMETERS angstrom
5.530 0.000 0.000
0.000 5.530 0.000
0.000 0.000 5.653
```

Computed properties:
For the density of states at the Fermi level, the calculation gives 3.0 states/eV/cell. The total magnetization comes out at 0.00 μB/f.u. Its energy above the lowest structure with this stoichiometry is 0 meV per atom. The crystal system is tetragonal.

The following is a DFT calculation (PBE) of ErCdPdPt after structural relaxation. Values from VASP.

```
&SYSTEM
  ibrav = 0, nat = 4, ntyp = 4
/
ATOMIC_SPECIES
Er 167.26 Er.upf
Cd 112.41 Cd.upf
Pd 106.42 Pd.upf
Pt 195.08 Pt.upf
ATOMIC_POSITIONS angstrom
Er 0.000 0.000 0.000
Cd 3.371 3.371 3.371
Pd 5.057 5.057 5.057
Pt 1.686 1.686 1.686
CELL_PARAMETERS angstrom
0.000 3.371 3.371
3.371 0.000 3.371
3.371 3.371 0.000
```

Computed properties:
For the density of states at the Fermi level, the calculation gives 1.9 states/eV/cell. The total magnetization comes out at 0.00 μB/f.u. The crystal system is cubic. The energy of formation from the pure elements comes out at -81.0 kJ per mole of atoms.